Entry from Alexandria via LeMat-Bulk: a relaxed MnTe3F crystal (PBE+U).

Summary:
Total DFT energy (no corrections) = -3.68 eV/atom
Symmetry = Pm-3m
Magnetization = 1.03 μB per atom

Cell lengths 4.979, 4.979, 4.979 Å; angles 90.00, 90.00, 90.00 degrees
Site moments in Bohr magnetons follow the coordinates.
Element x y z (fractional)
Te (0.000, 0.500, 0.000)  0.01
Te (0.000, 0.000, 0.500)  0.00
Te (0.500, 0.000, 0.000)  0.01
Mn (0.500, 0.500, 0.500)  4.71
F (0.000, 0.000, 0.000)  0.02